Record 1
Compound: KCd2P
Source: Alexandria via LeMat-Bulk
Functional: GGA-PBE
Structure: relaxed

a b c (Å): 5.0676 3.4325 5.8554
angles (deg): 90.34 90.00 90.00
Closest atoms and distances in Å follow each position.
Fractional positions:
P 0.5000 0.7500 0.7500  4 Cd 2.91
K 0.5000 0.2500 0.2500  4 P 3.38-3.40, 8 Cd 3.40-3.41, 2 K 3.43
Cd 0.0000 0.7460 0.9944  2 Cd 2.86-2.99, 2 P 2.91
Cd 0.0000 0.7540 0.5056  2 Cd 2.86-2.99, 2 P 2.91

Output
energy	-1.99	eV per atom

---

Record 2
Compound: CaMg2Mn
Source: Alexandria via LeMat-Bulk
Functional: GGA-PBE
Structure: relaxed

a b c (Å): 5.1265 5.1265 5.1265
angles (deg): 60.00 60.00 60.00
Closest atoms and distances in Å follow each position.
Fractional positions:
Mg 0.7500 0.7500 0.7500  4 Ca 3.14, 4 Mg 3.14
Mg 0.0000 0.0000 0.0000  4 Mn 3.14, 4 Mg 3.14
Ca 0.5000 0.5000 0.5000  4 Mn 3.14, 4 Mg 3.14
Mn 0.2500 0.2500 0.2500  4 Ca 3.14, 4 Mg 3.14

Output
energy	-3.36	eV per atom